The following is a DFT calculation (GGA-PBE) of a relaxed NaMgTa crystal.

Results
The calculation puts the formation energy at 1.696 eV/atom.

Unit cell a=4.796 b=4.796 c=4.796 alpha=60.00 beta=60.00 gamma=60.00
Fractional positions:
Na 0.000 0.000 0.000
Mg 0.250 0.250 0.250
Ta 0.500 0.500 0.500